VASP calculation (PBE-GGA) on a relaxed Zn3GeIr crystal.

Output
**Calculated volume**: 97.0 Å³/cell
**Energy above the most stable polymorph in this dataset**: 1052 meV per atom
**Theoretical density**: 7.9 g/cm³
**E_tot**: -2.43 eV per atom

Cell and atoms, written as CIF:
```
data_Zn3GeIr
_space_group_name_H-M_alt 'P m -3 m'
_space_group_IT_number 221
_space_group_name_Hall '-P 4 2 3'
_cell_length_a 4.595
_cell_length_b 4.595
_cell_length_c 4.595
_cell_angle_alpha 90.00
_cell_angle_beta 90.00
_cell_angle_gamma 90.00
loop_
_atom_site_label
_atom_site_fract_x
_atom_site_fract_y
_atom_site_fract_z
Zn1 0.000 0.000 0.500
Ge1 0.000 0.000 0.000
Ir1 0.500 0.500 0.500
```